Material: K2AgAuF6
Method: DFT, PBE-GGA
State: relaxed

Total energy (eV per formula unit): -37.13
Spin magnetization (Bohr magnetons per cell): 0.0
Energy relative to the elements, uncorrected (eV/atom): -1.7583

a b c (Å): 6.284 6.284 6.284
angles (deg): 60.00 60.00 60.00
Element x y z (fractional)
F: 0.752 0.248 0.248
F: 0.752 0.752 0.248
F: 0.248 0.248 0.752
F: 0.752 0.248 0.752
F: 0.248 0.752 0.248
F: 0.248 0.752 0.752
K: 0.750 0.750 0.750
K: 0.250 0.250 0.250
Ag: 0.500 0.500 0.500
Au: 0.000 0.000 0.000

=====

Material: LiAgAu2F8
Method: DFT, PBE-GGA
State: relaxed

Total energy (eV per formula unit): -39.41
Spin magnetization (Bohr magnetons per cell): 2.2
Energy relative to the elements, uncorrected (eV/atom): -1.0930

a b c (Å): 6.197 6.197 6.197
angles (deg): 114.24 114.24 100.31
Last column: magnetic moment on the atom in μB.
Element x y z (fractional)
F: 0.899 0.703 0.196  0.21
F: 0.968 0.659 0.692  0.04
F: 0.341 0.032 0.308  0.04
F: 0.507 0.703 0.804  0.21
F: 0.724 0.032 0.692  0.04
F: 0.297 0.101 0.804  0.21
F: 0.297 0.493 0.196  0.21
F: 0.968 0.276 0.308  0.04
Au: 0.750 0.250 0.500  0.27
Au: 0.500 0.500 0.000  0.87
Li: 0.250 0.750 0.500  0.00
Ag: 0.000 0.000 0.000  -0.04